No. 1
MgPRu | the Alexandria database | SCAN | single point on PBEsol structure; energy of formation = -0.51 eV per atom; mass density = 5.9 g/cm3; volume = 44.3 Å³ per cell; space-group type = I4mm
1.0
-1.504 1.504 4.899
1.504 -1.504 4.899
1.504 1.504 -4.899
Mg P Ru
1 1 1
Direct
0.000 0.000 0.000
0.696 0.696 0.000
0.301 0.301 0.000



No. 2
LaTlBr3 | the Alexandria database | SCAN | single point on PBEsol structure; mass density = 5.2 g/cm3; volume = 186.6 Å³ per cell; space-group type = Pm-3m; uncorrected formation energy = -0.65 eV per atom
1.0
5.715 0.000 0.000
0.000 5.715 0.000
0.000 0.000 5.715
La Tl Br
1 1 3
Direct
0.000 0.000 0.000
0.500 0.500 0.500
0.000 0.500 0.500
0.500 0.000 0.500
0.500 0.500 0.000



No. 3
TiSe2Cl | the Alexandria database | SCAN | single point on PBEsol structure; mass density = 5.6 g/cm3; volume = 71.0 Å³ per cell; space-group type = Fm-3m; uncorrected formation energy = -0.21 eV per atom
1.0
0.000 3.287 3.287
3.287 0.000 3.287
3.287 3.287 0.000
Ti Se Cl
1 2 1
Direct
0.000 0.000 0.000
0.250 0.250 0.250
0.750 0.750 0.750
0.500 0.500 0.500



No. 4
TeMo5O16 | the Alexandria database | SCAN | single point on PBEsol structure; mass density = 4.9 g/cm3; volume = 1173.1 Å³ per cell; space-group type = P2_1/c; uncorrected formation energy = -1.97 eV per atom
1.0
10.030 0.000 0.000
0.000 14.502 0.000
-0.134 0.000 8.064
Te Mo O
4 20 64
Direct
0.027 0.157 0.217
0.027 0.343 0.717
0.973 0.657 0.283
0.973 0.843 0.783
0.001 0.113 0.743
0.001 0.387 0.243
0.309 0.748 0.299
0.309 0.752 0.799
0.320 0.000 0.701
0.320 0.500 0.201
0.323 0.502 0.703
0.323 0.998 0.203
0.332 0.249 0.280
0.332 0.251 0.780
0.668 0.749 0.220
0.668 0.751 0.720
0.677 0.002 0.797
0.677 0.498 0.297
0.680 0.000 0.299
0.680 0.500 0.799
0.691 0.248 0.201
0.691 0.252 0.701
0.999 0.613 0.757
0.999 0.887 0.257
0.009 0.617 0.969
0.009 0.883 0.469
0.015 0.151 0.988
0.015 0.349 0.488
0.112 0.737 0.760
0.112 0.763 0.260
0.133 0.228 0.734
0.133 0.272 0.234
0.133 0.534 0.711
0.133 0.966 0.211
0.139 0.034 0.767
0.139 0.466 0.267
0.254 0.126 0.232
0.254 0.374 0.732
0.270 0.622 0.255
0.270 0.878 0.755
0.298 0.002 0.491
0.298 0.498 0.991
0.308 0.748 0.010
0.308 0.752 0.510
0.329 0.247 0.491
0.329 0.253 0.991
0.341 0.000 0.994
0.341 0.500 0.494
0.343 0.628 0.750
0.343 0.872 0.250
0.356 0.127 0.743
0.356 0.373 0.243
0.493 0.722 0.261
0.493 0.778 0.761
0.497 0.023 0.275
0.497 0.477 0.775
0.503 0.523 0.225
0.503 0.977 0.725
0.507 0.222 0.239
0.507 0.278 0.739
0.644 0.627 0.757
0.644 0.873 0.257
0.657 0.128 0.750
0.657 0.372 0.250
0.659 0.000 0.006
0.659 0.500 0.506
0.671 0.747 0.009
0.671 0.753 0.509
0.692 0.248 0.490
0.692 0.252 0.990
0.702 0.502 0.009
0.702 0.998 0.509
0.730 0.122 0.245
0.730 0.378 0.745
0.746 0.626 0.268
0.746 0.874 0.768
0.861 0.534 0.733
0.861 0.966 0.233
0.867 0.034 0.789
0.867 0.466 0.289
0.867 0.728 0.766
0.867 0.772 0.266
0.888 0.237 0.740
0.888 0.263 0.240
0.985 0.651 0.512
0.985 0.849 0.012
0.991 0.117 0.531
0.991 0.383 0.031



No. 5
NaSb2Ir2 | the Alexandria database | SCAN | single point on PBEsol structure; mass density = 11.3 g/cm3; volume = 190.6 Å³ per cell; space-group type = P4/mbm; uncorrected formation energy = 0.03 eV per atom
1.0
7.914 0.000 0.000
0.000 7.914 0.000
0.000 0.000 3.044
Na Sb Ir
2 4 4
Direct
0.000 0.000 0.000
0.500 0.500 0.000
0.156 0.344 0.000
0.344 0.844 0.000
0.656 0.156 0.000
0.844 0.656 0.000
0.133 0.633 0.500
0.367 0.133 0.500
0.633 0.867 0.500
0.867 0.367 0.500



No. 6
MgCoSe2 | the Alexandria database | SCAN | single point on PBEsol structure; mass density = 5.8 g/cm3; volume = 68.8 Å³ per cell; space-group type = Imm2; uncorrected formation energy = -0.41 eV per atom
1.0
-1.645 1.744 5.990
1.645 -1.744 5.990
1.645 1.744 -5.990
Mg Co Se
1 1 2
Direct
0.000 0.000 0.000
0.247 0.747 0.500
0.400 0.400 0.000
0.676 0.176 0.500



No. 7
LiHgAu2 | the Alexandria database | SCAN | single point on PBEsol structure; energy of formation = -0.33 eV per atom; mass density = 14.8 g/cm3; volume = 67.6 Å³ per cell; space-group type = I4/mmm
1.0
-2.027 2.027 4.113
2.027 -2.027 4.113
2.027 2.027 -4.113
Li Hg Au
1 1 2
Direct
0.000 0.000 0.000
0.500 0.500 0.000
0.250 0.750 0.500
0.750 0.250 0.500



No. 8
BeInAg2 | the Alexandria database | SCAN | single point on PBEsol structure; energy of formation = 0.22 eV per atom; mass density = 8.7 g/cm3; volume = 64.5 Å³ per cell; space-group type = F-43m
1.0
0.000 3.184 3.184
3.184 0.000 3.184
3.184 3.184 0.000
Be In Ag
1 1 2
Direct
0.000 0.000 0.000
0.750 0.750 0.750
0.250 0.250 0.250
0.500 0.500 0.500



No. 9
NaSiSn3 | the Alexandria database | SCAN | single point on PBEsol structure; mass density = 4.6 g/cm3; volume = 146.4 Å³ per cell; space-group type = Pm-3m; uncorrected formation energy = 0.40 eV per atom
1.0
5.270 0.000 0.000
0.000 5.270 0.000
0.000 0.000 5.270
Na Si Sn
1 1 3
Direct
0.000 0.000 0.000
0.500 0.500 0.500
0.000 0.500 0.500
0.500 0.000 0.500
0.500 0.500 0.000



No. 10
Sr2TiO4 | the Alexandria database | SCAN | single point on PBEsol structure; mass density = 5.1 g/cm3; volume = 94.2 Å³ per cell; space-group type = I4/mmm; uncorrected formation energy = -3.36 eV per atom
1.0
-1.939 1.939 6.260
1.939 -1.939 6.260
1.939 1.939 -6.260
Sr Ti O
2 1 4
Direct
0.145 0.145 0.000
0.855 0.855 0.000
0.500 0.500 0.000
0.000 0.500 0.500
0.341 0.341 0.000
0.500 0.000 0.500
0.659 0.659 0.000



No. 11
SrRhO3 | the Alexandria database | SCAN | single point on PBEsol structure; mass density = 6.6 g/cm3; volume = 239.2 Å³ per cell; space-group type = Pnma; uncorrected formation energy = -1.88 eV per atom
1.0
5.545 0.000 0.000
0.000 7.809 0.000
0.000 0.000 5.525
Sr Rh O
4 4 12
Direct
0.039 0.250 0.007
0.461 0.750 0.507
0.539 0.250 0.493
0.961 0.750 0.993
0.000 0.000 0.500
0.000 0.500 0.500
0.500 0.000 0.000
0.500 0.500 0.000
0.011 0.750 0.428
0.209 0.537 0.792
0.209 0.963 0.792
0.291 0.037 0.292
0.291 0.463 0.292
0.489 0.250 0.928
0.511 0.750 0.072
0.709 0.537 0.708
0.709 0.963 0.708
0.791 0.037 0.208
0.791 0.463 0.208
0.989 0.250 0.572



No. 12
AlFeSb2 | the Alexandria database | SCAN | single point on PBEsol structure; mass density = 7.0 g/cm3; volume = 77.0 Å³ per cell; space-group type = Cmmm; uncorrected formation energy = 0.41 eV per atom
1.0
3.033 -3.674 0.000
3.033 3.674 0.000
0.000 0.000 3.457
Al Fe Sb
1 1 2
Direct
0.000 0.000 0.000
0.500 0.500 0.000
0.000 0.500 0.500
0.500 0.000 0.500



No. 13
VRh3 | the Alexandria database | SCAN | single point on PBEsol structure; energy of formation = -0.46 eV per atom; mass density = 11.4 g/cm3; volume = 105.2 Å³ per cell; space-group type = P6_3/mmc
1.0
5.343 0.000 0.000
-2.671 4.627 0.000
0.000 0.000 4.257
V Rh
2 6
Direct
0.333 0.667 0.250
0.667 0.333 0.750
0.167 0.334 0.750
0.167 0.833 0.750
0.334 0.167 0.250
0.666 0.833 0.750
0.833 0.167 0.250
0.833 0.666 0.250



No. 14
LaCo2O | the Alexandria database | SCAN | single point on PBEsol structure; mass density = 7.6 g/cm3; volume = 119.2 Å³ per cell; space-group type = I-42d; uncorrected formation energy = -0.54 eV per atom
1.0
-2.214 2.214 6.076
2.214 -2.214 6.076
2.214 2.214 -6.076
La Co O
2 4 2
Direct
0.000 0.000 0.000
0.750 0.250 0.500
0.333 0.125 0.708
0.375 0.667 0.792
0.417 0.625 0.292
0.875 0.583 0.208
0.250 0.750 0.500
0.500 0.500 0.000



No. 15
TlHgCl | the Alexandria database | SCAN | single point on PBEsol structure; mass density = 8.0 g/cm3; volume = 91.0 Å³ per cell; space-group type = P3m1; uncorrected formation energy = -0.61 eV per atom
1.0
4.523 0.000 0.000
-2.261 3.917 0.000
0.000 0.000 5.137
Tl Hg Cl
1 1 1
Direct
0.000 0.000 0.000
0.667 0.333 0.351
0.333 0.667 0.708



No. 16
TmMgPd2 | the Alexandria database | SCAN | single point on PBEsol structure; energy of formation = -0.91 eV per atom; mass density = 9.4 g/cm3; volume = 71.6 Å³ per cell; space-group type = Fm-3m
1.0
0.000 3.296 3.296
3.296 0.000 3.296
3.296 3.296 0.000
Tm Mg Pd
1 1 2
Direct
0.000 0.000 0.000
0.500 0.500 0.500
0.250 0.250 0.250
0.750 0.750 0.750



No. 17
Hf5Sn4 | the Alexandria database | SCAN | single point on PBEsol structure; energy of formation = -0.48 eV per atom; mass density = 12.0 g/cm3; volume = 376.9 Å³ per cell; space-group type = P6_3/mcm
1.0
8.638 0.000 0.000
-4.319 7.481 0.000
0.000 0.000 5.832
Hf Sn
10 8
Direct
0.000 0.283 0.250
0.000 0.717 0.750
0.283 0.000 0.250
0.283 0.283 0.750
0.333 0.667 0.000
0.333 0.667 0.500
0.667 0.333 0.000
0.667 0.333 0.500
0.717 0.000 0.750
0.717 0.717 0.250
0.000 0.000 0.000
0.000 0.000 0.500
0.000 0.386 0.750
0.000 0.614 0.250
0.386 0.000 0.750
0.386 0.386 0.250
0.614 0.000 0.250
0.614 0.614 0.750



No. 18
Mg2Tl | the Alexandria database | SCAN | single point on PBEsol structure; energy of formation = 0.00 eV per atom; mass density = 5.7 g/cm3; volume = 147.8 Å³ per cell; space-group type = I4_1/amd
1.0
-1.645 1.645 13.657
1.645 -1.645 13.657
1.645 1.645 -13.657
Mg Tl
4 2
Direct
0.298 0.548 0.750
0.452 0.702 0.750
0.548 0.298 0.250
0.702 0.452 0.250
0.125 0.875 0.250
0.875 0.125 0.750



No. 19
BaZrTaNb2 | the Alexandria database | SCAN | single point on PBEsol structure; energy of formation = 2.48 eV per atom; mass density = 7.9 g/cm3; volume = 124.7 Å³ per cell; space-group type = P4/mmm
1.0
4.982 0.000 0.000
0.000 4.982 0.000
0.000 0.000 5.022
Ba Zr Ta Nb
1 1 1 2
Direct
0.000 0.000 0.000
0.500 0.500 0.500
0.000 0.000 0.500
0.000 0.500 0.000
0.500 0.000 0.000



No. 20
Mo2RuRh | the Alexandria database | SCAN | single point on PBEsol structure; energy of formation = -0.06 eV per atom; mass density = 11.5 g/cm3; volume = 57.0 Å³ per cell; space-group type = Pmm2
1.0
2.753 0.000 0.000
0.000 4.376 0.000
0.000 0.000 4.732
Mo Ru Rh
2 1 1
Direct
0.000 0.000 0.000
0.000 0.500 0.351
0.500 0.000 0.495
0.500 0.500 0.853